Record 1
DFT (GGA-PBE) results for a relaxed AlTl2Pt crystal.

**Calculated formation energy**: -0.04 eV per atom
**Total magnetization**: 0.000 μB/cell

abc: 3.2203 4.8915 11.9127
angles: 90.00 90.00 90.00
Space group Imm2 (No. 44)
Unique sites:
Al  0.0000  0.0000  0.0000 (multiplicity 2)
Tl  0.0000  0.0000  0.4047 (multiplicity 2)
Tl  0.0000  0.5000  0.2112 (multiplicity 2)
Pt  0.0000  0.5000  0.6548 (multiplicity 2)



Record 2
DFT (GGA-PBE) results for a relaxed Al4TlPt crystal.

**Calculated formation energy**: 0.17 eV per atom
**Total magnetization**: 0.000 μB/cell

abc: 7.6240 7.6240 7.6240
angles: 90.00 90.00 90.00
Space group F-43m (No. 216)
Unique sites:
Al  0.1247  0.1247  0.1247 (multiplicity 16)
Tl  0.0000  0.0000  0.5000 (multiplicity 4)
Pt  0.2500  0.2500  0.7500 (multiplicity 4)



Record 3
DFT (GGA-PBE) results for a relaxed AlTl2Pt crystal.

**Calculated formation energy**: 0.21 eV per atom
**Total magnetization**: 0.000 μB/cell

abc: 3.4427 3.4427 26.1914
angles: 90.00 90.00 120.00
Space group R-3m (No. 166, hexagonal axes)
Unique sites:
Al  0.0000  0.0000  0.0000 (multiplicity 3)
Tl  0.0000  0.0000  0.2439 (multiplicity 6)
Pt  0.0000  0.0000  0.5000 (multiplicity 3)